Density functional theory data (PBE) for a geometry-optimized HoLuBe structure.

Output
- VASP energy: -4.21 eV/atom

a = 3.404 Å, b = 3.404 Å, c = 11.857 Å
α = 90.00°, β = 90.00°, γ = 90.00°
Atoms (fractional coordinates):
Ho: 0.000 0.000 0.000
Ho: 0.500 0.500 0.500
Lu: 0.000 0.000 0.272
Lu: 0.500 0.500 0.772
Be: 0.000 0.000 0.641
Be: 0.500 0.500 0.141

Density functional theory data (PBE) for a geometry-optimized Ti2AuBr structure.

Output
- Formation energy from raw total energies: 23.0 kJ per mole of atoms
- Polymorph energy (0 for the lowest one): 278 meV per atom

a = 5.733 Å, b = 5.733 Å, c = 12.158 Å
α = 90.00°, β = 90.00°, γ = 90.00°
Atoms (fractional coordinates):
Ti: 0.240 0.250 0.125
Ti: 0.250 0.740 0.375
Ti: 0.250 0.760 0.875
Ti: 0.260 0.250 0.625
Ti: 0.740 0.750 0.625
Ti: 0.750 0.240 0.875
Ti: 0.750 0.260 0.375
Ti: 0.760 0.750 0.125
Au: 0.000 0.000 0.000
Au: 0.000 0.500 0.250
Au: 0.500 0.000 0.750
Au: 0.500 0.500 0.500
Br: 0.000 0.000 0.500
Br: 0.000 0.500 0.750
Br: 0.500 0.000 0.250
Br: 0.500 0.500 0.000

Density functional theory data (PBE) for a geometry-optimized Sc2TaTe structure.

Output
- Formation energy from raw total energies: -18.9 kJ per mole of atoms
- Polymorph energy (0 for the lowest one): 133 meV per atom

a = 6.645 Å, b = 6.655 Å, c = 3.779 Å
α = 90.00°, β = 90.00°, γ = 90.00°
Atoms (fractional coordinates):
Sc: 0.250 0.250 0.000
Sc: 0.250 0.750 0.000
Sc: 0.750 0.250 0.000
Sc: 0.750 0.750 0.000
Ta: 0.000 0.000 0.500
Ta: 0.500 0.500 0.500
Te: 0.000 0.500 0.500
Te: 0.500 0.000 0.500

Density functional theory data (PBE) for a geometry-optimized YTlTe2 structure.

Output
- Formation energy from raw total energies: -83.3 kJ per mole of atoms

a = 8.543 Å, b = 8.543 Å, c = 7.887 Å
α = 90.00°, β = 90.00°, γ = 90.00°
Atoms (fractional coordinates):
Y: 0.000 0.500 0.250
Y: 0.000 0.500 0.750
Y: 0.500 0.000 0.250
Y: 0.500 0.000 0.750
Tl: 0.000 0.000 0.250
Tl: 0.000 0.000 0.750
Tl: 0.500 0.500 0.250
Tl: 0.500 0.500 0.750
Te: 0.186 0.314 0.000
Te: 0.186 0.686 0.500
Te: 0.314 0.186 0.500
Te: 0.314 0.814 0.000
Te: 0.686 0.186 0.000
Te: 0.686 0.814 0.500
Te: 0.814 0.314 0.500
Te: 0.814 0.686 0.000

Total magnetic moment values, unit μB per formula unit, following the record order: 0.0, 0.0, 0.0, 0.0.